one) ! K2Na2Ca, relaxed, DFT PBE; values from VASP
! * crystal system: tetragonal
! * space group: I4/mmm (139)
! * density: 1.0 Mg/m³
! * V: 53.40 A^3/atom
&SYSTEM
  ibrav = 0, nat = 5, ntyp = 3
/
ATOMIC_SPECIES
K 39.10 K.upf
Na 22.99 Na.upf
Ca 40.08 Ca.upf
CELL_PARAMETERS angstrom
-2.2533 2.2533 13.1470
2.2533 -2.2533 13.1470
2.2533 2.2533 -13.1470
ATOMIC_POSITIONS crystal
K 0.1137 0.1137 0.0000
K 0.8863 0.8863 0.0000
Na 0.2500 0.7500 0.5000
Na 0.7500 0.2500 0.5000
Ca 0.5000 0.5000 0.0000

***

two) ! K2Na2Ca, relaxed, DFT PBE; values from VASP
! * crystal system: tetragonal
! * space group: P4/mbm (127)
! * density: 1.1 Mg/m³
! * V: 50.06 A^3/atom
&SYSTEM
  ibrav = 0, nat = 10, ntyp = 3
/
ATOMIC_SPECIES
K 39.10 K.upf
Na 22.99 Na.upf
Ca 40.08 Ca.upf
CELL_PARAMETERS angstrom
10.6724 0.0000 0.0000
0.0000 10.6724 0.0000
0.0000 0.0000 4.3949
ATOMIC_POSITIONS crystal
K 0.1745 0.3255 0.0000
K 0.3255 0.8255 0.0000
K 0.6745 0.1745 0.0000
K 0.8255 0.6745 0.0000
Na 0.1249 0.6249 0.5000
Na 0.3751 0.1249 0.5000
Na 0.6249 0.8751 0.5000
Na 0.8751 0.3751 0.5000
Ca 0.0000 0.0000 0.5000
Ca 0.5000 0.5000 0.5000

***

three) ! K2Na2Ca, relaxed, DFT PBE; values from VASP
! * crystal system: tetragonal
! * space group: P4/mbm (127)
! * density: 1.1 Mg/m³
! * V: 49.67 A^3/atom
&SYSTEM
  ibrav = 0, nat = 10, ntyp = 3
/
ATOMIC_SPECIES
K 39.10 K.upf
Na 22.99 Na.upf
Ca 40.08 Ca.upf
CELL_PARAMETERS angstrom
10.9775 0.0000 0.0000
0.0000 10.9775 0.0000
0.0000 0.0000 4.1217
ATOMIC_POSITIONS crystal
K 0.1331 0.3669 0.0000
K 0.3669 0.8669 0.0000
K 0.6331 0.1331 0.0000
K 0.8669 0.6331 0.0000
Na 0.1710 0.6710 0.5000
Na 0.3290 0.1710 0.5000
Na 0.6710 0.8290 0.5000
Na 0.8290 0.3290 0.5000
Ca 0.0000 0.0000 0.0000
Ca 0.5000 0.5000 0.0000

***

Quick one: least stable of them? one)

***

one) ! KNaCa2P, relaxed, DFT PBE; values from VASP
! * crystal system: tetragonal
! * space group: P4/mmm (123)
! * density: 1.4 Mg/m³
! * V: 40.23 A^3/atom
&SYSTEM
  ibrav = 0, nat = 5, ntyp = 4
/
ATOMIC_SPECIES
K 39.10 K.upf
Na 22.99 Na.upf
Ca 40.08 Ca.upf
P 30.97 P.upf
CELL_PARAMETERS angstrom
5.5792 0.0000 0.0000
0.0000 5.5792 0.0000
0.0000 0.0000 6.4626
ATOMIC_POSITIONS crystal
K 0.0000 0.0000 0.0000
Na 0.5000 0.5000 0.0000
Ca 0.0000 0.5000 0.5000
Ca 0.5000 0.0000 0.5000
P 0.0000 0.0000 0.5000

***

two) ! KNaCa2P, relaxed, DFT PBE; values from VASP
! * crystal system: tetragonal
! * space group: P4/mmm (123)
! * density: 1.5 Mg/m³
! * V: 38.48 A^3/atom
&SYSTEM
  ibrav = 0, nat = 5, ntyp = 4
/
ATOMIC_SPECIES
K 39.10 K.upf
Na 22.99 Na.upf
Ca 40.08 Ca.upf
P 30.97 P.upf
CELL_PARAMETERS angstrom
5.6296 0.0000 0.0000
0.0000 5.6296 0.0000
0.0000 0.0000 6.0714
ATOMIC_POSITIONS crystal
K 0.0000 0.0000 0.0000
Na 0.5000 0.5000 0.0000
Ca 0.0000 0.5000 0.5000
Ca 0.5000 0.0000 0.5000
P 0.5000 0.5000 0.5000

***

Quick one: least stable of them? two)

***

one) ! KCa3Nb, relaxed, DFT PBE; values from VASP
! * crystal system: cubic
! * space group: Pm-3m (221)
! * density: 2.5 Mg/m³
! * V: 33.57 A^3/atom
&SYSTEM
  ibrav = 0, nat = 5, ntyp = 3
/
ATOMIC_SPECIES
K 39.10 K.upf
Ca 40.08 Ca.upf
Nb 92.91 Nb.upf
CELL_PARAMETERS angstrom
5.5164 0.0000 0.0000
0.0000 5.5164 0.0000
0.0000 0.0000 5.5164
ATOMIC_POSITIONS crystal
K 0.0000 0.0000 0.0000
Ca 0.0000 0.0000 0.5000
Ca 0.0000 0.5000 0.0000
Ca 0.5000 0.0000 0.0000
Nb 0.5000 0.5000 0.5000

***

two) ! KCa3Nb, relaxed, DFT PBE; values from VASP
! * crystal system: cubic
! * space group: Pm-3m (221)
! * density: 2.1 Mg/m³
! * V: 39.68 A^3/atom
&SYSTEM
  ibrav = 0, nat = 5, ntyp = 3
/
ATOMIC_SPECIES
K 39.10 K.upf
Ca 40.08 Ca.upf
Nb 92.91 Nb.upf
CELL_PARAMETERS angstrom
5.8326 0.0000 0.0000
0.0000 5.8326 0.0000
0.0000 0.0000 5.8326
ATOMIC_POSITIONS crystal
K 0.0000 0.0000 0.0000
Ca 0.0000 0.5000 0.5000
Ca 0.5000 0.0000 0.5000
Ca 0.5000 0.5000 0.0000
Nb 0.5000 0.5000 0.5000

***

Quick one: least stable of them? one)

***

one) ! KCaNb2, relaxed, DFT PBE; values from VASP
! * crystal system: cubic
! * space group: Fm-3m (225)
! * density: 4.1 Mg/m³
! * V: 26.90 A^3/atom
&SYSTEM
  ibrav = 0, nat = 4, ntyp = 3
/
ATOMIC_SPECIES
K 39.10 K.upf
Ca 40.08 Ca.upf
Nb 92.91 Nb.upf
CELL_PARAMETERS angstrom
0.0000 3.7752 3.7752
3.7752 0.0000 3.7752
3.7752 3.7752 0.0000
ATOMIC_POSITIONS crystal
K 0.0000 0.0000 0.0000
Ca 0.5000 0.5000 0.5000
Nb 0.2500 0.2500 0.2500
Nb 0.7500 0.7500 0.7500

***

two) ! KCaNb2, relaxed, DFT PBE; values from VASP
! * crystal system: tetragonal
! * space group: I-42d (122)
! * density: 4.4 Mg/m³
! * V: 24.80 A^3/atom
&SYSTEM
  ibrav = 0, nat = 8, ntyp = 3
/
ATOMIC_SPECIES
K 39.10 K.upf
Ca 40.08 Ca.upf
Nb 92.91 Nb.upf
CELL_PARAMETERS angstrom
-2.0277 2.0277 12.0625
2.0277 -2.0277 12.0625
2.0277 2.0277 -12.0625
ATOMIC_POSITIONS crystal
K 0.0000 0.0000 0.0000
K 0.7500 0.2500 0.5000
Ca 0.2500 0.7500 0.5000
Ca 0.5000 0.5000 0.0000
Nb 0.1337 0.6250 0.0087
Nb 0.3750 0.3837 0.5087
Nb 0.6163 0.1250 0.9913
Nb 0.8750 0.8663 0.4913

***

Quick one: least stable of them? one)